La12Y7Mg | GGA-PBE | relaxed

* calculated formation energy: 641 meV per atom
* D(E_F): 76.92 states/eV/cell

Unit cell a=11.7779 b=11.7779 c=11.7779 alpha=90.00 beta=90.00 gamma=90.00
Space group Im-3 (No. 204)
One atom of each set of equivalent atoms:
La: 0.0000 0.2426 0.2455 [24 per cell]
Y: 0.0000 0.0000 0.5000 [6 per cell]
Y: 0.2500 0.2500 0.2500 [8 per cell]
Mg: 0.0000 0.0000 0.0000 [2 per cell]